16
Lattice="6.1930 0.0000 0.0000 0.0000 6.1930 0.0000 0.0000 0.0000 6.1930" Properties=species:S:1:pos:R:3 comment="AlOs2Pt | OQMD | PBE-GGA | relaxed" dft_energy_ev_per_atom=-7.903 m_tot_mub_per_cell=2.25 pbc="T T T"
Al 0.0000 0.0000 0.0000
Al 0.0000 3.0965 3.0965
Al 3.0965 0.0000 3.0965
Al 3.0965 3.0965 0.0000
Os 0.0000 0.0000 3.0965
Os 0.0000 3.0965 0.0000
Os 1.5482 1.5482 4.6447
Os 1.5482 4.6447 1.5482
Os 3.0965 0.0000 0.0000
Os 3.0965 3.0965 3.0965
Os 4.6447 1.5482 1.5482
Os 4.6447 4.6447 4.6447
Pt 1.5482 1.5482 1.5482
Pt 1.5482 4.6447 4.6447
Pt 4.6447 1.5482 4.6447
Pt 4.6447 4.6447 1.5482

8
Lattice="3.9491 0.0000 0.0000 0.0000 3.9491 0.0000 0.0000 0.0000 9.4588" Properties=species:S:1:pos:R:3 comment="NaTmSeO | OQMD | PBE-GGA | relaxed" dft_energy_ev_per_atom=-5.768 de_polymorph_mev_per_atom=100 m_tot_mub_per_cell=0.00 pbc="T T T"
Na 0.9873 2.9618 0.0000
Na 2.9618 0.9873 0.0000
Tm 0.9873 0.9873 3.7030
Tm 2.9618 2.9618 5.7558
Se 0.9873 0.9873 7.4645
Se 2.9618 2.9618 1.9942
O 0.9873 2.9618 4.7294
O 2.9618 0.9873 4.7294

5
Lattice="5.7708 0.0000 0.0000 0.0000 5.7708 0.0000 0.0000 0.0000 3.7954" Properties=species:S:1:pos:R:3 comment="Ba2CuIrN | OQMD | PBE-GGA | relaxed" dft_energy_ev_per_atom=-5.288 m_tot_mub_per_cell=0.00 pbc="T T T"
Ba 0.0000 2.8854 0.0000
Ba 2.8854 0.0000 0.0000
Cu 0.0000 0.0000 1.8977
Ir 2.8854 2.8854 1.8977
N 2.8854 2.8854 0.0000

32
Lattice="5.8143 0.0000 0.0000 0.0000 4.0167 0.0000 -0.0397 0.0000 34.6934" Properties=species:S:1:pos:R:3 comment="HgAu15 | OQMD | PBE-GGA | relaxed" dft_energy_ev_per_atom=-3.022 de_polymorph_mev_per_atom=23 delta_e_f_ev_per_fu=0.94 pbc="T T T"
Hg 0.7093 1.0042 11.7766
Hg 5.0653 3.0125 22.9168
Au 0.6846 1.0042 24.6973
Au 0.6835 1.0042 27.8182
Au 0.7211 1.0042 5.3124
Au 0.7168 1.0042 8.4116
Au 0.6856 1.0042 33.9301
Au 0.7279 1.0042 2.2766
Au 0.6945 1.0042 30.8874
Au 2.1523 3.0125 9.9933
Au 2.1597 3.0125 6.8731
Au 2.1795 3.0125 0.7537
Au 2.1505 3.0125 26.3292
Au 2.1463 3.0125 29.3515
Au 2.1431 3.0125 32.4098
Au 2.1802 3.0125 3.8044
Au 2.1572 3.0125 23.3158
Au 3.6174 1.0042 11.3776
Au 3.5945 1.0042 30.8890
Au 3.6316 1.0042 2.2836
Au 3.6283 1.0042 5.3419
Au 3.6241 1.0042 8.3642
Au 3.5952 1.0042 33.9397
Au 3.6149 1.0042 27.8203
Au 3.6224 1.0042 24.7001
Au 5.0801 3.0125 3.8060
Au 5.0467 3.0125 32.4168
Au 5.0891 3.0125 0.7633
Au 5.0579 3.0125 26.2818
Au 5.0536 3.0125 29.3810
Au 5.0912 3.0125 6.8752
Au 5.0901 3.0125 9.9961

10
Lattice="5.8158 -4.2015 0.0000 5.8158 4.2015 0.0000 -5.6810 0.0000 6.7085" Properties=species:S:1:pos:R:3 comment="TbBr2Cl2 | OQMD | PBE-GGA | relaxed" dft_energy_ev_per_atom=-3.730 m_tot_mub_per_cell=2.00 pbc="T T T"
Tb 5.8158 2.1077 0.0000
Tb 5.8158 -2.1077 0.0000
Br -1.1131 0.0000 1.6151
Br 1.1551 0.0000 5.0642
Br 4.7955 0.0000 1.6443
Br 7.0637 0.0000 5.0934
Cl 1.9400 2.0072 1.6995
Cl 4.0106 2.0072 5.0090
Cl 1.9400 -2.0072 1.6995
Cl 4.0106 -2.0072 5.0090

6
Lattice="0.0000 5.4581 5.4581 5.4581 0.0000 5.4581 5.4581 5.4581 0.0000" Properties=species:S:1:pos:R:3 comment="Dy2Fe | OQMD | PBE-GGA | relaxed" dft_energy_ev_per_atom=-4.734 m_tot_mub_per_cell=0.01 delta_e_f_ev_per_fu=3.31 pbc="T T T"
Dy 0.0000 0.0000 0.0000
Dy 2.7290 2.7290 0.0000
Dy 2.7290 0.0000 2.7290
Dy 0.0000 2.7290 2.7290
Fe 1.3645 1.3645 1.3645
Fe 9.5517 9.5517 9.5517